# SrGe2Pd5 | the Alexandria database | PBE | relaxed
# Volume (A^3/atom): 18.33
# Formation energy (meV/atom): -618.2
# Uncorrected energy (eV/atom): -5.228
# Theoretical density (g/cm³): 8.7
data_SrGe2Pd5
_chemical_formula_sum 'Sr1 Ge2 Pd5'
_symmetry_space_group_name_H-M 'P 1'
_symmetry_Int_Tables_number 1
_cell_length_a 4.0027
_cell_length_b 6.5416
_cell_length_c 6.5416
_cell_angle_alpha 66.97
_cell_angle_beta 72.19
_cell_angle_gamma 72.19
loop_
_symmetry_equiv_pos_as_xyz
'x,y,z'
loop_
_atom_site_label
_atom_site_type_symbol
_atom_site_fract_x
_atom_site_fract_y
_atom_site_fract_z
Pd1 Pd 0.3498 0.4565 0.8439
Pd2 Pd 0.0000 0.5000 0.5000
Pd3 Pd 0.6502 0.5435 0.1561
Pd4 Pd 0.3498 0.8439 0.4565
Pd5 Pd 0.6502 0.1561 0.5435
Ge1 Ge 0.7578 0.7422 0.7422
Ge2 Ge 0.2422 0.2578 0.2578
Sr1 Sr 0.0000 0.0000 0.0000